No. 1
## CdCu2RuO (GGA-PBE)

Data for a relaxed structure of CdCu2RuO.

Total energy, eV per atom: -3.18
Calculated density, g cm⁻³: 5.5

Lattice parameters (Å, degrees): 4.5555 5.2281 4.5555 90.00 90.00 90.00
Last column: nearest neighbours and their distance in Å.
Fractional coordinates of all 5 atoms:
Cd1 0.0000 0.5000 0.0000  2 Ru 2.61
Ru1 0.0000 0.0000 0.0000  4 Cu 2.28
O1 0.5000 0.5000 0.5000  4 Cd 3.22, 8 Cu 3.47
Cu1 0.0000 0.0000 0.5000  2 Ru 2.28
Cu2 0.5000 0.0000 0.0000  2 Ru 2.28

No. 2
## CdCu2SO6 (GGA-PBE)

Data for a relaxed structure of CdCu2SO6.

Total energy, eV per atom: -5.16
Calculated density, g cm⁻³: 4.5

Lattice parameters (Å, degrees): 6.5606 6.8375 6.8375 83.13 70.20 70.20
Last column: nearest neighbours and their distance in Å.
Fractional coordinates of all 20 atoms:
Cd1 0.7500 0.2049 0.7951  6 O 2.28-2.46
O1 0.0447 0.2886 0.8287  1 S 1.49
O2 0.5447 0.8287 0.2886  1 S 1.49
S1 0.2500 0.1331 0.8669  4 O 1.49-1.50
Cu1 0.0967 0.3716 0.3501  2 O 1.82-1.83
O3 0.2507 0.9160 0.8507  1 S 1.50
Cd2 0.2500 0.7951 0.2049  6 O 2.28-2.46
Cu2 0.4033 0.6499 0.6284  2 O 1.82-1.83
Cu3 0.9033 0.6284 0.6499  2 O 1.82-1.83
O4 0.2493 0.1493 0.0840  1 S 1.50
Cu4 0.5967 0.3501 0.3716  2 O 1.82-1.83
S2 0.7500 0.8669 0.1331  4 O 1.49-1.50
O5 0.9553 0.7114 0.1713  1 S 1.49
O6 0.4553 0.1713 0.7114  1 S 1.49
O7 0.8575 0.2701 0.4433  2 Cu 1.82-1.83
O8 0.7507 0.8507 0.9160  1 S 1.50
O9 0.6425 0.5567 0.7299  2 Cu 1.82-1.83
O10 0.7493 0.0840 0.1493  1 S 1.50
O11 0.1425 0.7299 0.5567  2 Cu 1.82-1.83
O12 0.3575 0.4433 0.2701  2 Cu 1.82-1.83

No. 3
## CdCuS2O8 (GGA-PBE)

Data for a relaxed structure of CdCuS2O8.

Total energy, eV per atom: -5.52
Calculated density, g cm⁻³: 4.0

Lattice parameters (Å, degrees): 5.1763 5.1763 6.5405 90.00 90.00 120.00
Last column: nearest neighbours and their distance in Å.
Fractional coordinates of all 12 atoms:
O1 0.3333 0.6667 0.4873  1 S 1.47
O2 0.8254 0.1746 0.2155  1 S 1.50
S1 0.3333 0.6667 0.7114  4 O 1.47-1.50
Cu1 0.0000 0.0000 0.0000  6 O 2.11
O3 0.1746 0.8254 0.7845  1 S 1.50
O4 0.6509 0.8254 0.7845  1 S 1.50
O5 0.6667 0.3333 0.5127  1 S 1.47
O6 0.8254 0.6509 0.2155  1 S 1.50
S2 0.6667 0.3333 0.2886  4 O 1.47-1.50
O7 0.1746 0.3491 0.7845  1 S 1.50
Cd1 0.0000 0.0000 0.5000  6 O 2.43
O8 0.3491 0.1746 0.2155  1 S 1.50